[1]
Crystalline Cs2ReBPt at its relaxed geometry, computed with PBE.

Properties
energy relative to the elements	9.81	eV/f.u.
electronic total energy	-3.41	eV per atom

Cell lengths 6.1618, 4.7960, 6.1618 Å; angles 90.00, 90.00, 90.00 degrees
Atoms (fractional coordinates):
Cs  0.0000  0.0000  0.5000
Cs  0.5000  0.0000  0.0000
Re  0.0000  0.0000  0.0000
B  0.5000  0.5000  0.5000
Pt  0.0000  0.5000  0.0000

---

[2]
Crystalline HoAlSe3 at its relaxed geometry, computed with PBE.

Properties
formation energy without anion corrections	-31.30	kcal/mol of atoms
electronic total energy	-5.11	eV per atom
energy relative to the lowest polymorph listed for this composition	0	meV per atom

Cell lengths 4.0140, 6.6418, 12.2626 Å; angles 105.71, 90.00, 90.00 degrees
Atoms (fractional coordinates):
Ho  0.2500  0.0483  0.6508
Ho  0.7500  0.3975  0.3492
Al  0.2500  0.7791  0.2564
Al  0.7500  0.5227  0.7436
Se  0.7500  0.8870  0.7604
Se  0.7500  0.5920  0.1652
Se  0.7500  0.2678  0.5572
Se  0.2500  0.4268  0.8348
Se  0.2500  0.1266  0.2396
Se  0.2500  0.7106  0.4428

---

[3]
Crystalline SiSbW2 at its relaxed geometry, computed with PBE.

Properties
formation energy without anion corrections	3.85	kcal/mol of atoms
electronic total energy	-8.70	eV per atom
energy relative to the lowest polymorph listed for this composition	0	meV per atom

Cell lengths 3.3180, 3.3180, 6.0839 Å; angles 90.00, 90.00, 90.00 degrees
Atoms (fractional coordinates):
Sb  0.0000  0.0000  0.4911
Si  0.5000  0.5000  0.7998
W  0.0000  0.0000  0.9597
W  0.5000  0.5000  0.2494

---

[4]
Crystalline Sc2MnCo at its relaxed geometry, computed with PBE.

Properties
energy relative to the elements	0.89	eV/f.u.
electronic total energy	-7.01	eV per atom

Cell lengths 7.0819, 7.0819, 5.7476 Å; angles 51.97, 51.97, 90.00 degrees
Atoms (fractional coordinates):
Sc  0.6657  0.1250  0.2500
Sc  0.0843  0.6250  0.2500
Sc  0.3750  0.3343  0.7500
Sc  0.8750  0.9157  0.7500
Mn  0.5000  0.5000  0.0000
Mn  0.2500  0.7500  0.5000
Co  0.0000  0.0000  0.0000
Co  0.7500  0.2500  0.5000

---

[5]
Crystalline Cs2DyI5 at its relaxed geometry, computed with PBE.

Properties
formation energy without anion corrections	-34.53	kcal/mol of atoms
electronic total energy	-3.25	eV per atom
energy relative to the lowest polymorph listed for this composition	0	meV per atom

Cell lengths 8.5235, 10.9810, 17.4232 Å; angles 90.00, 90.00, 90.00 degrees
Atoms (fractional coordinates):
Cs  0.7500  0.5452  0.3020
Cs  0.2500  0.4548  0.6980
Cs  0.2500  0.9548  0.8020
Cs  0.7500  0.0452  0.1980
Cs  0.7500  0.8207  0.5868
Cs  0.2500  0.1793  0.4132
Cs  0.2500  0.6793  0.0868
Cs  0.7500  0.3207  0.9132
Dy  0.7500  0.8115  0.9400
Dy  0.2500  0.1885  0.0600
Dy  0.2500  0.6885  0.4400
Dy  0.7500  0.3115  0.5600
I  0.7500  0.7177  0.1048
I  0.2500  0.2823  0.8952
I  0.2500  0.7823  0.6048
I  0.7500  0.2177  0.3952
I  0.4940  0.6492  0.8893
I  0.5060  0.3508  0.1107
I  0.5060  0.8508  0.3893
I  0.9940  0.3508  0.1107
I  0.4940  0.1492  0.6107
I  0.0060  0.6492  0.8893
I  0.0060  0.1492  0.6107
I  0.9940  0.8508  0.3893
I  0.5000  0.0000  0.0000
I  0.5000  0.5000  0.5000
I  0.0000  0.0000  0.0000
I  0.0000  0.5000  0.5000
I  0.7500  0.9635  0.7965
I  0.2500  0.0365  0.2035
I  0.2500  0.5365  0.2965
I  0.7500  0.4635  0.7035

---

[6]
Crystalline Dy6SnO12 at its relaxed geometry, computed with PBE.

Properties
formation energy without anion corrections	-70.32	kcal/mol of atoms
electronic total energy	-7.84	eV per atom

Cell lengths 6.5256, 6.5256, 6.5256 Å; angles 99.13, 99.13, 99.13 degrees
Atoms (fractional coordinates):
Dy  0.1373  0.2951  0.6084
Dy  0.7049  0.3916  0.8627
Dy  0.3916  0.8627  0.7049
Dy  0.8627  0.7049  0.3916
Dy  0.2951  0.6084  0.1373
Dy  0.6084  0.1373  0.2951
Sn  0.0000  0.0000  0.0000
O  0.4392  0.1782  0.5829
O  0.1782  0.5829  0.4392
O  0.5829  0.4392  0.1782
O  0.5608  0.8218  0.4171
O  0.8218  0.4171  0.5608
O  0.4171  0.5608  0.8218
O  0.0527  0.9325  0.6887
O  0.3113  0.9473  0.0675
O  0.0675  0.3113  0.9473
O  0.9473  0.0675  0.3113
O  0.6887  0.0527  0.9325
O  0.9325  0.6887  0.0527

---

[7]
Crystalline BaNaAs2Br at its relaxed geometry, computed with PBE.

Properties
formation energy without anion corrections	-0.03	kcal/mol of atoms
electronic total energy	-2.84	eV per atom
energy relative to the lowest polymorph listed for this composition	320	meV per atom

Cell lengths 6.4489, 6.4489, 6.2443 Å; angles 90.00, 90.00, 90.00 degrees
Atoms (fractional coordinates):
Na  0.5000  0.5000  0.5000
As  0.0000  0.5000  0.0000
As  0.5000  0.0000  0.0000
Ba  0.0000  0.0000  0.0000
Br  0.0000  0.0000  0.5000

---

[8]
Crystalline CsSb2Pb3 at its relaxed geometry, computed with PBE.

Properties
formation energy without anion corrections	-3.11	kcal/mol of atoms
electronic total energy	-3.51	eV per atom
energy relative to the lowest polymorph listed for this composition	0	meV per atom

Cell lengths 5.9753, 9.2129, 10.0735 Å; angles 116.50, 90.00, 108.92 degrees
Atoms (fractional coordinates):
Cs  0.8452  0.6904  0.9171
Cs  0.1548  0.3096  0.0829
Sb  0.4757  0.9514  0.8327
Sb  0.5243  0.0486  0.1673
Sb  0.8360  0.6721  0.2880
Sb  0.1640  0.3279  0.7120
Pb  0.2841  0.5683  0.5666
Pb  0.9587  0.9174  0.6384
Pb  0.5875  0.1750  0.6606
Pb  0.4125  0.8250  0.3394
Pb  0.0413  0.0826  0.3616
Pb  0.7159  0.4317  0.4334

---

[9]
Crystalline InHg2Pd7 at its relaxed geometry, computed with PBE.

Properties
energy relative to the elements	0.76	eV/f.u.
electronic total energy	-3.89	eV per atom

Cell lengths 2.8652, 9.1561, 9.1561 Å; angles 124.74, 90.00, 90.00 degrees
Atoms (fractional coordinates):
In  0.0000  0.0000  0.0000
Hg  0.5000  0.6770  0.3230
Hg  0.5000  0.3230  0.6770
Pd  0.0000  0.8224  0.1776
Pd  0.0000  0.1776  0.8224
Pd  0.5000  0.1352  0.3105
Pd  0.5000  0.8648  0.6895
Pd  0.5000  0.3105  0.1352
Pd  0.5000  0.6895  0.8648
Pd  0.5000  0.5000  0.5000

---

[10]
Crystalline Pr5MgPb4 at its relaxed geometry, computed with PBE.

Properties
energy relative to the elements	-2.45	eV/f.u.
electronic total energy	-4.28	eV per atom

Cell lengths 4.6955, 7.7565, 9.4776 Å; angles 85.61, 104.34, 90.00 degrees
Atoms (fractional coordinates):
Pr  0.7829  0.6585  0.5658
Pr  0.8755  0.1995  0.7511
Pr  0.1245  0.8005  0.2489
Pr  0.5000  0.5000  0.0000
Pr  0.2171  0.3415  0.4342
Mg  0.5000  0.0000  0.0000
Pb  0.3163  0.9353  0.6326
Pb  0.9481  0.7757  0.8962
Pb  0.6837  0.0647  0.3674
Pb  0.0519  0.2243  0.1038

---

[11]
Crystalline ZrFeRu2N at its relaxed geometry, computed with PBE.

Properties
formation energy without anion corrections	45.75	kcal/mol of atoms
electronic total energy	-6.79	eV per atom

Cell lengths 4.8823, 4.0316, 4.8823 Å; angles 90.00, 90.00, 90.00 degrees
Atoms (fractional coordinates):
Ru  0.0000  0.0000  0.5000
Ru  0.5000  0.0000  0.0000
Fe  0.5000  0.5000  0.5000
Zr  0.0000  0.0000  0.0000
N  0.0000  0.5000  0.0000

---

Volume in Å³/atom, matching the order above: 36.42; 31.47; 16.74; 17.69; 50.96; 14.00; 51.94; 38.54; 19.74; 33.34; 19.22